No. 1
Entry from Alexandria via LeMat-Bulk: a relaxed Mn2IrRh crystal (PBE).

abc: 3.7160 3.7160 7.7633
angles: 90.00 90.00 90.00
Space group I-4m2 (No. 119)
Asymmetric unit:
1 Mn 0.0000 0.0000 0.0000 [2 per cell]
2 Mn 0.0000 0.5000 0.2500 [2 per cell]
3 Ir 0.0000 0.0000 0.5000 [2 per cell]
4 Rh 0.0000 0.5000 0.7500 [2 per cell]

Summary:
- E (eV per atom) = -8.712
- total moment (μB per formula unit) = 4.84
- calculated formation energy (kcal/mol of atoms) = -1.7



No. 2
Entry from Alexandria via LeMat-Bulk: a relaxed K2MoBr crystal (PBE).

abc: 3.9330 4.2680 19.3723
angles: 90.00 90.00 90.00
Space group Imm2 (No. 44)
Asymmetric unit:
1 K 0.0000 0.0000 0.0000 [2 per cell]
2 K 0.0000 0.5000 0.2153 [2 per cell]
3 Mo 0.0000 0.5000 0.8398 [2 per cell]
4 Br 0.0000 0.0000 0.5799 [2 per cell]

Summary:
- E (eV per atom) = -3.274
- total moment (μB per formula unit) = 5.19
- raw formation energy (eV per atom) = 0.401



No. 3
Entry from Alexandria via LeMat-Bulk: a relaxed TbNdHo2Tl4 crystal (PBE).

abc: 5.4002 5.4002 26.5238
angles: 90.00 90.00 120.00
Space group R-3m (No. 166, hexagonal axes)
Asymmetric unit:
1 Tb 0.0000 0.0000 0.0000 [3 per cell]
2 Nd 0.0000 0.0000 0.5000 [3 per cell]
3 Ho 0.0000 0.0000 0.2504 [6 per cell]
4 Tl 0.0000 0.0000 0.1237 [6 per cell]
5 Tl 0.0000 0.0000 0.3738 [6 per cell]

Summary:
- E (eV per atom) = -3.848
- total moment (μB per formula unit) = 0.00
- calculated formation energy (kcal/mol of atoms) = -8.0